First-principles (GGA+U) data for a relaxed structure of NiBi2SbO8, as listed in Alexandria via LeMat-Bulk.

Values from the calculation:
symmetry	Cmmm
calculated density	7.548	g/cm3
energy	-66.7	eV/cell

The structure in POSCAR format:
```
NiBi2SbO8
1.0
4.8813 -0.0027 -0.0010
0.0183 4.8802 -0.0060
-0.0005 0.0102 6.7085
Ni Bi Sb O
1 2 1 8
Direct
0.0000 0.0000 0.5000
0.4999 0.5002 0.7439
0.5001 0.4998 0.2561
0.0000 0.0000 0.0000
0.1826 0.8170 0.2363
0.7048 0.7054 0.0000
0.8178 0.1828 0.2364
0.8174 0.1830 0.7637
0.2952 0.2946 0.0000
0.1822 0.8172 0.7636
0.7040 0.7045 0.5000
0.2960 0.2955 0.5000
```

First-principles (GGA+U) data for a relaxed structure of PrFeSeO2, as listed in Alexandria via LeMat-Bulk.

Values from the calculation:
symmetry	Cmcm
calculated density	5.672	g/cm3
energy	-65.4	eV/cell

The structure in POSCAR format:
```
PrFeSeO2
1.0
5.4403 0.0000 0.0000
0.0000 5.6635 0.0000
0.0000 -2.8318 5.8473
Pr Fe Se O
2 2 2 4
Direct
0.2500 0.6255 0.2511
0.7500 0.3745 0.7489
0.2500 0.0083 0.0166
0.7500 0.9917 0.9834
0.7500 0.7620 0.5240
0.2500 0.2380 0.4760
0.5000 0.2381 0.0000
0.0000 0.7619 0.0000
0.5000 0.7619 0.0000
0.0000 0.2381 0.0000
```